This record from Alexandria describes a geometry-optimized AlGa2Ru2 structure. The functional is PBE-GGA.

Geometry as extended XYZ:
```
10
Lattice="6.806 0.000 0.000 0.000 6.806 0.000 0.000 0.000 3.255" Properties=species:S:1:pos:R:3 pbc="T T T"
Ru 2.356 5.759 0.000
Ru 5.759 4.450 0.000
Ru 4.450 1.047 0.000
Ru 1.047 2.356 0.000
Al 0.000 0.000 0.000
Al 3.403 3.403 0.000
Ga 0.993 4.396 1.628
Ga 4.396 5.813 1.628
Ga 5.813 2.410 1.628
Ga 2.410 0.993 1.628
```

Results
V ... 150.8 Å³ per cell
Relative energy among the computed polymorphs ... 0.017 eV per atom
Fermi-level density of states ... 6.171 states/eV per cell
Theoretical density ... 8.12 g/cm³
Energy relative to the elements ... -1.65 eV/f.u.
Size of the total moment ... 0.00 μB/f.u.
Space-group type ... No. 127

---

This record from Alexandria describes a geometry-optimized Al2Ga6Ru structure. The functional is PBE-GGA.

Geometry as extended XYZ:
```
9
Lattice="2.985 0.000 0.000 0.000 7.073 -4.083 0.000 0.000 8.167" Properties=species:S:1:pos:R:3 pbc="T T T"
Al 1.021 2.358 4.083
Al 1.964 4.715 0.000
Ga 2.206 4.657 4.083
Ga 2.206 1.208 2.092
Ga 0.779 5.865 -1.991
Ga 2.206 1.208 6.075
Ga 0.779 5.865 1.991
Ga 0.779 2.416 0.000
Ru 0.000 0.000 0.000
```

Results
V ... 172.4 Å³ per cell
Fermi-level density of states ... 3.255 states/eV per cell
Theoretical density ... 5.52 g/cm³
Energy relative to the elements ... 0.46 eV/f.u.
Size of the total moment ... 0.00 μB/f.u.
Space-group type ... No. 164

---

This record from Alexandria describes a geometry-optimized AlGa2Ru2 structure. The functional is PBE-GGA.

Geometry as extended XYZ:
```
5
Lattice="-1.499 -0.578 -2.600 1.012 -2.829 0.045 -6.101 -3.709 4.341" Properties=species:S:1:pos:R:3 pbc="T T T"
Al 0.000 0.000 0.000
Ga -3.751 -2.893 2.805
Ga -1.338 -3.645 1.581
Ru -1.468 -2.128 -0.478
Ru -5.121 -4.987 2.264
```

Results
V ... 75.5 Å³ per cell
Relative energy among the computed polymorphs ... 0.000 eV per atom
Fermi-level density of states ... 5.064 states/eV per cell
Theoretical density ... 8.11 g/cm³
Energy relative to the elements ... -1.74 eV/f.u.
Size of the total moment ... 0.00 μB/f.u.
Space-group type ... No. 65

---

This record from Alexandria describes a geometry-optimized Al3GaRu4 structure. The functional is PBE-GGA.

Geometry as extended XYZ:
```
8
Lattice="-2.223 -1.003 1.761 2.869 -1.635 2.691 0.120 7.342 4.332" Properties=species:S:1:pos:R:3 pbc="T T T"
Ru 0.060 3.671 2.166
Ru 1.524 4.690 4.595
Ru 0.000 0.000 0.000
Ru 1.464 1.018 2.428
Al -1.081 1.354 1.975
Al 0.383 2.352 4.392
Al -1.022 4.986 4.118
Ga 0.323 -1.319 2.226
```

Results
V ... 109.2 Å³ per cell
Fermi-level density of states ... 7.953 states/eV per cell
Theoretical density ... 8.44 g/cm³
Energy relative to the elements ... -4.64 eV/f.u.
Size of the total moment ... 0.00 μB/f.u.
Space-group type ... No. 47

---

This record from Alexandria describes a geometry-optimized Al2GaRu2 structure. The functional is PBE-GGA.

Geometry as extended XYZ:
```
10
Lattice="6.816 0.000 0.000 0.000 6.816 0.000 0.000 0.000 3.193" Properties=species:S:1:pos:R:3 pbc="T T T"
Ru 2.337 5.745 0.000
Ru 5.745 4.479 0.000
Ru 4.479 1.071 0.000
Ru 1.071 2.337 0.000
Al 0.961 4.369 1.596
Al 4.369 5.855 1.596
Al 5.855 2.447 1.596
Al 2.447 0.961 1.596
Ga 0.000 0.000 0.000
Ga 3.408 3.408 0.000
```

Results
V ... 148.3 Å³ per cell
Relative energy among the computed polymorphs ... 0.000 eV per atom
Fermi-level density of states ... 6.705 states/eV per cell
Theoretical density ... 7.30 g/cm³
Energy relative to the elements ... -2.40 eV/f.u.
Size of the total moment ... 0.00 μB/f.u.
Space-group type ... No. 127

---

This record from Alexandria describes a geometry-optimized Al2Ga2Ru structure. The functional is PBE-GGA.

Geometry as extended XYZ:
```
10
Lattice="6.594 0.000 0.000 0.000 6.594 0.000 0.000 0.000 3.647" Properties=species:S:1:pos:R:3 pbc="T T T"
Ru 0.000 0.000 0.000
Ru 3.297 3.297 0.000
Al 1.117 4.414 1.824
Al 4.414 5.477 1.824
Al 5.477 2.180 1.824
Al 2.180 1.117 1.824
Ga 2.401 5.698 0.000
Ga 5.698 4.193 0.000
Ga 4.193 0.896 0.000
Ga 0.896 2.401 0.000
```

Results
V ... 158.6 Å³ per cell
Relative energy among the computed polymorphs ... 0.000 eV per atom
Fermi-level density of states ... 5.898 states/eV per cell
Theoretical density ... 6.17 g/cm³
Energy relative to the elements ... 0.12 eV/f.u.
Size of the total moment ... 0.00 μB/f.u.
Space-group type ... No. 127